# VTcC2 (GGA-PBE, optimized geometry)
data_VTcC2
_cell_length_a 4.558
_cell_length_b 4.558
_cell_length_c 9.182
_cell_angle_alpha 90.00
_cell_angle_beta 90.00
_cell_angle_gamma 90.00
_symmetry_space_group_name_H-M 'I -4 2 d'
_symmetry_Int_Tables_number 122
_symmetry_space_group_name_Hall 'I -4 2bw'
loop_
_atom_site_label
_atom_site_type_symbol
_atom_site_fract_x
_atom_site_fract_y
_atom_site_fract_z
V1 V 0.000 0.000 0.000
Tc1 Tc 0.000 0.000 0.500
C1 C 0.249 0.250 0.125
# Magnetization   0.00 μB/f.u.
# E_form   0.374 eV/atom
# Total energy   -9.11 eV per atom